This record from Alexandria describes crystalline CeZn2CrN4 at its relaxed geometry. The functional is PBE.

Values from the calculation:
Final energy in eV/cell: -55.21
SG: I-42m, No. 121
Formation energy from raw total energies in eV per formula unit: -3.80
Calculated volume in A^3/atom: 12.89

a = 5.1334 Å, b = 5.3374 Å, c = 5.3374 Å
α = 94.29°, β = 61.26°, γ = 61.26°
Site moments in Bohr magnetons follow the coordinates.
Atoms (fractional coordinates):
Zn: 0.0001 0.7500 0.2500  0.03
N: 0.5000 0.1617 0.4209  -0.04
N: 0.0827 0.8383 0.5791  -0.04
N: 0.4999 0.5791 0.8384  -0.04
Ce: 0.5000 0.0000 0.9999  0.65
Cr: 0.5000 0.5000 0.5000  1.29
N: 0.9173 0.4209 0.1617  -0.04
Zn: 0.9999 0.2501 0.7500  0.03

---

This record from Alexandria describes crystalline CeZrCrN3 at its relaxed geometry. The functional is PBE.

Values from the calculation:
Final energy in eV/cell: -112.29
SG: P2_1/m, No. 11
Formation energy from raw total energies in eV per formula unit: -7.06
Calculated volume in A^3/atom: 13.63

a = 3.2341 Å, b = 7.2004 Å, c = 7.1879 Å
α = 102.28°, β = 90.00°, γ = 90.00°
Atoms (fractional coordinates):
N: 0.7500 0.4261 0.1550
N: 0.7500 0.8753 0.1389
Cr: 0.7500 0.9098 0.4055
N: 0.2500 0.5739 0.8450
Zr: 0.2500 0.6476 0.1582
Zr: 0.7500 0.3524 0.8418
N: 0.2500 0.8144 0.5120
Ce: 0.7500 0.8136 0.7979
Cr: 0.2500 0.0902 0.5945
N: 0.2500 0.1247 0.8611
Ce: 0.2500 0.1864 0.2021
N: 0.7500 0.1856 0.4880

---

What did the first record say?
This record from Alexandria describes crystalline CeZn2CrN4 at its relaxed geometry. The functional is PBE.

Values from the calculation:
Final energy in eV/cell: -55.21
SG: I-42m, No. 121
Formation energy from raw total energies in eV per formula unit: -3.80
Calculated volume in A^3/atom: 12.89

a = 5.1334 Å, b = 5.3374 Å, c = 5.3374 Å
α = 94.29°, β = 61.26°, γ = 61.26°
Site moments in Bohr magnetons follow the coordinates.
Atoms (fractional coordinates):
Zn: 0.0001 0.7500 0.2500  0.03
N: 0.5000 0.1617 0.4209  -0.04
N: 0.0827 0.8383 0.5791  -0.04
N: 0.4999 0.5791 0.8384  -0.04
Ce: 0.5000 0.0000 0.9999  0.65
Cr: 0.5000 0.5000 0.5000  1.29
N: 0.9173 0.4209 0.1617  -0.04
Zn: 0.9999 0.2501 0.7500  0.03